The following is a PBE calculation of a relaxed TcIr2W crystal, from Alexandria.

Structure (POSCAR):
```
TcIr2W
1.0
2.749 0.003 0.000
-0.003 2.749 0.000
0.000 0.000 7.852
Ir W Tc
2 1 1
Direct
0.000 0.000 0.496
0.000 0.000 0.004
0.500 0.500 0.750
0.500 0.500 0.250
```

Computed properties:
Spin magnetization ... 0.0 Bohr magnetons per cell
Calculated total energy ... -10.4694 eV/atom
Formation energy from the elements ... -0.84 eV/f.u.



The following is a PBE calculation of a relaxed TcIr4W crystal, from Alexandria.

Structure (POSCAR):
```
TcIr4W
1.0
4.210 0.579 -0.448
-1.059 6.131 -2.032
0.583 0.781 6.473
Ir Tc W
8 2 2
Direct
0.250 0.400 0.257
0.750 0.257 0.400
0.750 0.337 0.996
0.250 0.663 0.004
0.250 0.743 0.600
0.750 0.600 0.743
0.750 0.004 0.664
0.250 0.996 0.336
0.750 0.929 0.071
0.250 0.071 0.929
0.750 0.667 0.333
0.250 0.333 0.667
```

Computed properties:
Spin magnetization ... 0.0 Bohr magnetons per cell
Calculated total energy ... -9.9077 eV/atom
Formation energy from the elements ... -0.68 eV/f.u.



The following is a PBE calculation of a relaxed TcIr2W crystal, from Alexandria.

Structure (POSCAR):
```
TcIr2W
1.0
4.791 0.001 0.000
-3.150 5.271 0.003
0.000 1.437 2.349
Ir Tc W
2 1 1
Direct
0.000 0.000 0.000
0.000 0.500 0.500
0.500 0.500 0.000
0.500 0.000 0.500
```

Computed properties:
Spin magnetization ... 0.0 Bohr magnetons per cell
Calculated total energy ... -10.5010 eV/atom
Formation energy from the elements ... -0.96 eV/f.u.



The following is a PBE calculation of a relaxed TcIr2W crystal, from Alexandria.

Structure (POSCAR):
```
TcIr2W
1.0
4.817 0.008 -0.003
4.020 2.653 -0.003
0.810 0.244 4.667
Ir Tc W
2 1 1
Direct
0.000 0.000 0.998
0.500 0.500 0.502
0.750 0.750 0.750
0.250 0.250 0.250
```

Computed properties:
Spin magnetization ... 0.0 Bohr magnetons per cell
Calculated total energy ... -10.3737 eV/atom
Formation energy from the elements ... -0.45 eV/f.u.



The following is a PBE calculation of a relaxed TcIr4W crystal, from Alexandria.

Structure (POSCAR):
```
TcIr4W
1.0
0.000 3.604 3.604
3.604 0.000 3.604
3.604 3.604 0.000
Tc Ir W
1 4 1
Direct
0.250 0.250 0.250
0.625 0.625 0.126
0.625 0.625 0.625
0.625 0.126 0.625
0.126 0.625 0.625
0.000 0.000 0.000
```

Computed properties:
Spin magnetization ... 0.0 Bohr magnetons per cell
Calculated total energy ... -9.4256 eV/atom
Formation energy from the elements ... 2.21 eV/f.u.



The following is a PBE calculation of a relaxed TcIr2W crystal, from Alexandria.

Structure (POSCAR):
```
TcIr2W
1.0
-5.507 -1.140 0.416
0.664 -4.450 -3.401
-1.417 -6.034 2.943
W Ir Tc
2 4 2
Direct
0.000 0.000 0.000
0.750 0.250 0.500
0.132 0.625 0.250
0.875 0.868 0.750
0.618 0.125 0.250
0.375 0.382 0.750
0.250 0.750 0.500
0.500 0.500 0.000
```

Computed properties:
Spin magnetization ... 0.0 Bohr magnetons per cell
Calculated total energy ... -9.2422 eV/atom
Formation energy from the elements ... 4.07 eV/f.u.



The following is a PBE calculation of a relaxed TcIr3W crystal, from Alexandria.

Structure (POSCAR):
```
TcIr3W
1.0
4.727 0.000 0.000
0.000 4.727 0.000
0.000 0.000 4.727
Ir Tc W
3 1 1
Direct
0.500 0.000 0.000
0.000 0.000 0.500
0.000 0.500 0.000
0.500 0.500 0.500
0.000 0.000 0.000
```

Computed properties:
Spin magnetization ... 4.1 Bohr magnetons per cell
Calculated total energy ... -8.0674 eV/atom
Formation energy from the elements ... 9.57 eV/f.u.



The following is a PBE calculation of a relaxed TcIr2W crystal, from Alexandria.

Structure (POSCAR):
```
TcIr2W
1.0
-2.963 -2.240 1.280
0.744 -2.585 -2.802
4.888 -3.747 4.754
Ir Tc W
4 2 2
Direct
0.000 0.250 0.125
0.000 0.750 0.875
0.000 0.750 0.373
0.000 0.250 0.627
0.500 0.250 0.873
0.500 0.750 0.127
0.500 0.750 0.635
0.500 0.250 0.365
```

Computed properties:
Spin magnetization ... 0.0 Bohr magnetons per cell
Calculated total energy ... -10.5038 eV/atom
Formation energy from the elements ... -0.97 eV/f.u.



> Look up the spin magnetization of the second one.

0.0 Bohr magnetons per cell